1.
This record from the Alexandria database describes crystalline Mn2SbW at its relaxed geometry. The functional is PBEsol.

a b c (Å): 4.315 4.315 4.315
angles (deg): 122.31 122.31 86.05
Fractional positions:
Mn 0.250 0.750 0.500
Mn 0.750 0.250 0.500
Sb 0.000 0.000 0.000
W 0.500 0.500 0.000

## Properties
N(E_F)	0.711	states/eV/atom
DFT total energy	-36.76	eV per cell
volume	13.67	Å³ per atom
raw formation energy	0.281	eV per atom


2.
This record from the Alexandria database describes crystalline MnSb2W at its relaxed geometry. The functional is PBEsol.

a b c (Å): 3.126 3.126 7.918
angles (deg): 90.00 90.00 90.00
Fractional positions:
Mn 0.000 0.000 0.000
Sb 0.000 0.000 0.599
Sb 0.500 0.500 0.213
W 0.500 0.500 0.839

## Properties
polymorph energy (0 for the lowest one)	0.0	meV per atom
N(E_F)	0.765	states/eV/atom
DFT total energy	-31.75	eV per cell
volume	19.35	Å³ per atom
raw formation energy	0.232	eV per atom


3.
This record from the Alexandria database describes crystalline Mn2SbW at its relaxed geometry. The functional is PBEsol.

a b c (Å): 4.880 4.880 4.880
angles (deg): 138.66 130.53 66.38
Fractional positions:
Mn 0.000 0.000 0.000
Mn 0.760 0.260 0.500
Sb 0.248 0.748 0.500
W 0.508 0.508 0.000

## Properties
N(E_F)	0.850	states/eV/atom
DFT total energy	-36.58	eV per cell
volume	14.36	Å³ per atom
raw formation energy	0.326	eV per atom


4.
This record from the Alexandria database describes crystalline MnSbW at its relaxed geometry. The functional is PBEsol.

a b c (Å): 4.306 4.306 4.306
angles (deg): 60.00 60.00 60.00
Fractional positions:
Mn 0.000 0.000 0.000
Sb 0.500 0.500 0.500
W 0.750 0.750 0.750

## Properties
N(E_F)	1.018	states/eV/atom
DFT total energy	-25.83	eV per cell
volume	18.82	Å³ per atom
raw formation energy	0.767	eV per atom


5.
This record from the Alexandria database describes crystalline Mn2SbW at its relaxed geometry. The functional is PBEsol.

a b c (Å): 4.331 4.331 4.331
angles (deg): 60.00 60.00 60.00
Fractional positions:
Mn 0.000 0.000 0.000
Mn 0.250 0.250 0.250
Sb 0.750 0.750 0.750
W 0.500 0.500 0.500

## Properties
N(E_F)	0.741	states/eV/atom
DFT total energy	-36.28	eV per cell
volume	14.36	Å³ per atom
raw formation energy	0.401	eV per atom


6.
This record from the Alexandria database describes crystalline MnSbW2 at its relaxed geometry. The functional is PBEsol.

a b c (Å): 2.871 4.123 5.379
angles (deg): 90.00 94.81 90.00
Fractional positions:
Mn 0.000 0.000 0.000
Sb 0.000 0.000 0.500
W 0.391 0.500 0.223
W 0.609 0.500 0.777

## Properties
N(E_F)	0.751	states/eV/atom
DFT total energy	-39.85	eV per cell
volume	15.86	Å³ per atom
raw formation energy	0.520	eV per atom


7.
This record from the Alexandria database describes crystalline MnSb2W at its relaxed geometry. The functional is PBEsol.

a b c (Å): 10.116 10.116 10.116
angles (deg): 17.51 17.51 17.51
Fractional positions:
Mn 0.000 0.000 0.000
Sb 0.532 0.532 0.532
Sb 0.737 0.737 0.737
W 0.275 0.275 0.275

## Properties
polymorph energy (0 for the lowest one)	170.2	meV per atom
N(E_F)	0.709	states/eV/atom
DFT total energy	-31.07	eV per cell
volume	20.44	Å³ per atom
raw formation energy	0.402	eV per atom


8.
This record from the Alexandria database describes crystalline MnSbW2 at its relaxed geometry. The functional is PBEsol.

a b c (Å): 3.194 4.294 4.473
angles (deg): 90.00 90.00 90.00
Fractional positions:
Mn 0.000 0.000 0.000
Sb 0.500 0.500 0.000
W 0.000 0.500 0.500
W 0.500 0.000 0.500

## Properties
N(E_F)	0.713	states/eV/atom
DFT total energy	-40.08	eV per cell
volume	15.34	Å³ per atom
raw formation energy	0.464	eV per atom